First-principles (GGA-PBE) data for UTiSe4 after structural relaxation, as listed in Alexandria.

As for the final energy: -6.61 eV per atom. Its mass density is 5.94 g/cm³.

The space group is C2/m (No. 12) and the conventional cell measures 14.791, 3.844 and 6.595 Å, with angles of 90.00, 116.14 and 90.00 degrees. The distinct sites, in fractional coordinates, are U at (0.000, 0.000, 0.000), Ti at (0.000, 0.500, 0.500), Se at (0.113, 0.000, 0.761) and Se at (0.119, 0.500, 0.307).